Entry A
PrNd2Y4 GGA-PBE relaxed; N(E_F) = 1.464 states/eV/atom; space-group type = C2/m
1.0
17.024 0.000 0.000
0.000 3.590 0.000
-4.436 0.000 7.729
Pr Nd Y
2 4 8
Direct
0.000 0.000 0.000
0.500 0.500 0.000
0.069 0.000 0.428
0.431 0.500 0.572
0.569 0.500 0.428
0.931 0.000 0.572
0.146 0.500 0.843
0.207 0.500 0.293
0.293 0.000 0.707
0.354 0.000 0.157
0.646 0.000 0.843
0.707 0.000 0.293
0.793 0.500 0.707
0.854 0.500 0.157

=====

Entry B
PrNd2Y4 GGA-PBE relaxed; N(E_F) = 1.506 states/eV/atom; space-group type = I4/mmm
1.0
5.604 0.000 0.000
0.000 5.604 0.000
0.000 0.000 17.194
Pr Nd Y
2 4 8
Direct
0.000 0.000 0.000
0.500 0.500 0.500
0.000 0.000 0.378
0.000 0.000 0.622
0.500 0.500 0.122
0.500 0.500 0.878
0.000 0.000 0.177
0.000 0.000 0.823
0.000 0.500 0.000
0.000 0.500 0.500
0.500 0.000 0.000
0.500 0.000 0.500
0.500 0.500 0.323
0.500 0.500 0.677

=====

Most stable to least stable: entry A, entry B

=====

Entry A
Pr3Nd2Y6 GGA-PBE relaxed; N(E_F) = 1.158 states/eV/atom; space-group type = R-3m
1.0
1.818 1.050 32.321
-1.818 1.050 32.321
0.000 -2.100 32.321
Pr Nd Y
3 2 6
Direct
0.000 0.000 0.000
0.273 0.273 0.273
0.727 0.727 0.727
0.455 0.455 0.455
0.545 0.545 0.545
0.091 0.091 0.091
0.182 0.182 0.182
0.364 0.364 0.364
0.636 0.636 0.636
0.818 0.818 0.818
0.909 0.909 0.909

=====

Entry B
Pr3Nd2Y6 GGA-PBE relaxed; N(E_F) = 1.476 states/eV/atom; space-group type = C2/m
1.0
3.123 -5.421 0.000
3.123 5.421 0.000
-2.096 0.000 11.593
Pr Nd Y
3 2 6
Direct
0.000 0.000 0.000
0.336 0.664 0.000
0.664 0.336 0.000
0.167 0.833 0.500
0.833 0.167 0.500
0.085 0.417 0.252
0.251 0.251 0.749
0.417 0.085 0.252
0.583 0.915 0.748
0.749 0.749 0.251
0.915 0.583 0.748

=====

Most stable to least stable: entry A, entry B

=====

Entry A
PrNd4Y2 GGA-PBE relaxed; N(E_F) = 1.525 states/eV/atom; space-group type = P2_1/m
1.0
6.305 0.000 0.000
0.000 6.694 0.000
-3.048 0.000 11.431
Pr Nd Y
2 8 4
Direct
0.007 0.250 0.343
0.993 0.750 0.657
0.163 0.250 0.645
0.301 0.750 0.945
0.364 0.002 0.213
0.364 0.498 0.213
0.636 0.502 0.787
0.636 0.998 0.787
0.699 0.250 0.055
0.837 0.750 0.355
0.137 0.250 0.933
0.394 0.750 0.497
0.606 0.250 0.503
0.863 0.750 0.067

=====

Entry B
PrNd4Y2 GGA-PBE relaxed; N(E_F) = 1.528 states/eV/atom; space-group type = Fdd2
1.0
0.000 12.282 3.269
6.063 0.000 3.269
6.063 12.282 0.000
Pr Nd Y
2 8 4
Direct
0.000 0.000 0.000
0.250 0.250 0.250
0.087 0.497 0.128
0.122 0.962 0.163
0.496 0.543 0.360
0.497 0.087 0.288
0.543 0.496 0.602
0.648 0.890 0.707
0.890 0.648 0.754
0.962 0.122 0.753
0.059 0.572 0.874
0.376 0.754 0.191
0.572 0.059 0.496
0.754 0.376 0.678

=====

Most stable to least stable: entry B, entry A

=====

Entry A
Pr7NdY4 GGA-PBE relaxed; N(E_F) = 2.014 states/eV/atom; space-group type = P-1
1.0
6.131 0.000 0.000
-0.007 7.306 0.000
-0.071 -3.650 9.481
Pr Nd Y
7 1 4
Direct
0.000 0.000 0.000
0.248 0.709 0.416
0.250 0.188 0.376
0.251 0.534 0.069
0.749 0.466 0.931
0.750 0.812 0.624
0.752 0.291 0.584
0.500 0.000 0.000
0.252 0.592 0.724
0.253 0.132 0.724
0.747 0.868 0.276
0.748 0.408 0.276

=====

Entry B
Pr7NdY4 GGA-PBE relaxed; N(E_F) = 1.674 states/eV/atom; space-group type = C2/m
1.0
8.199 -3.047 0.000
8.199 3.047 0.000
-4.295 0.000 8.538
Pr Nd Y
7 1 4
Direct
0.000 0.000 0.000
0.286 0.286 0.116
0.288 0.288 0.764
0.414 0.414 0.550
0.586 0.586 0.450
0.712 0.712 0.236
0.714 0.714 0.884
0.500 0.500 0.000
0.071 0.071 0.699
0.170 0.170 0.383
0.830 0.830 0.617
0.929 0.929 0.301

=====

Most stable to least stable: entry A, entry B

=====

Entry A
Pr2NdY2 GGA-PBE relaxed; N(E_F) = 1.654 states/eV/atom; space-group type = Fddd
1.0
0.000 6.028 11.674
2.710 0.000 11.674
2.710 6.028 0.000
Pr Nd Y
4 2 4
Direct
0.000 0.000 0.000
0.000 0.000 0.500
0.000 0.500 0.000
0.500 0.000 0.000
0.125 0.125 0.125
0.875 0.875 0.875
0.205 0.545 0.205
0.455 0.795 0.455
0.545 0.205 0.545
0.795 0.455 0.795

=====

Entry B
Pr2NdY2 GGA-PBE relaxed; N(E_F) = 2.032 states/eV/atom; space-group type = C2/m
1.0
9.644 0.000 0.000
0.000 6.059 0.000
-2.474 0.000 5.894
Pr Nd Y
4 2 4
Direct
0.100 0.000 0.302
0.400 0.500 0.698
0.600 0.500 0.302
0.900 0.000 0.698
0.000 0.500 0.500
0.500 0.000 0.500
0.199 0.500 0.093
0.301 0.000 0.907
0.699 0.000 0.093
0.801 0.500 0.907

=====

Most stable to least stable: entry B, entry A

=====

Entry A
Pr7NdY2 GGA-PBE relaxed; N(E_F) = 1.404 states/eV/atom; space-group type = C2/m
1.0
9.141 -2.814 0.000
9.141 2.814 0.000
-3.431 0.000 7.145
Pr Nd Y
7 1 2
Direct
0.000 0.000 0.000
0.129 0.129 0.431
0.129 0.129 0.828
0.345 0.345 0.844
0.655 0.655 0.156
0.871 0.871 0.172
0.871 0.871 0.569
0.500 0.500 0.500
0.287 0.287 0.287
0.713 0.713 0.713

=====

Entry B
Pr7NdY2 GGA-PBE relaxed; N(E_F) = 1.624 states/eV/atom; space-group type = Cmmm
1.0
4.404 -8.549 0.000
4.404 8.549 0.000
0.000 0.000 5.693
Pr Nd Y
7 1 2
Direct
0.000 0.000 0.000
0.209 0.433 0.000
0.286 0.714 0.500
0.433 0.209 0.000
0.567 0.791 0.000
0.714 0.286 0.500
0.791 0.567 0.000
0.500 0.500 0.500
0.207 0.793 0.000
0.793 0.207 0.000

=====

Most stable to least stable: entry A, entry B

=====

Entry A
PrNd7Y4 GGA-PBE relaxed; N(E_F) = 1.502 states/eV/atom; space-group type = C2/m
1.0
6.097 -3.046 0.000
6.097 3.046 0.000
-6.083 0.000 11.379
Pr Nd Y
1 7 4
Direct
0.000 0.000 0.000
0.060 0.060 0.327
0.209 0.209 0.920
0.370 0.370 0.498
0.500 0.500 0.000
0.630 0.630 0.502
0.791 0.791 0.080
0.940 0.940 0.673
0.250 0.250 0.683
0.363 0.363 0.225
0.637 0.637 0.775
0.750 0.750 0.317

=====

Entry B
PrNd7Y4 GGA-PBE relaxed; N(E_F) = 1.328 states/eV/atom; space-group type = P-1
1.0
6.370 0.000 0.000
0.010 7.354 0.000
2.122 0.000 8.813
Pr Nd Y
1 7 4
Direct
0.000 0.000 0.000
0.000 0.500 0.000
0.223 0.000 0.334
0.279 0.250 0.665
0.499 0.253 0.001
0.501 0.747 0.999
0.721 0.750 0.335
0.777 0.000 0.666
0.220 0.500 0.335
0.279 0.746 0.666
0.721 0.254 0.334
0.780 0.500 0.665

=====

Most stable to least stable: entry B, entry A

=====

Entry A
Pr4Nd6Y GGA-PBE relaxed; N(E_F) = 1.549 states/eV/atom; space-group type = I-42m
1.0
-3.420 3.420 8.570
3.420 -3.420 8.570
3.420 3.420 -8.570
Pr Nd Y
4 6 1
Direct
0.011 0.633 0.000
0.367 0.367 0.378
0.633 0.011 0.000
0.989 0.989 0.622
0.000 0.500 0.500
0.205 0.205 0.653
0.448 0.795 0.000
0.500 0.000 0.500
0.552 0.552 0.347
0.795 0.448 0.000
0.000 0.000 0.000

=====

Entry B
Pr4Nd6Y GGA-PBE relaxed; N(E_F) = 1.232 states/eV/atom; space-group type = I-42m
1.0
-3.859 3.859 6.873
3.859 -3.859 6.873
3.859 3.859 -6.873
Pr Nd Y
4 6 1
Direct
0.246 0.246 0.654
0.408 0.754 0.000
0.592 0.592 0.346
0.754 0.408 0.000
0.000 0.500 0.500
0.038 0.586 0.000
0.414 0.414 0.452
0.500 0.000 0.500
0.586 0.038 0.000
0.962 0.962 0.548
0.000 0.000 0.000

=====

Most stable to least stable: entry A, entry B

=====

Entry A
Pr12Nd2Y5 GGA-PBE relaxed; N(E_F) = 1.354 states/eV/atom; space-group type = C2/m
1.0
8.063 -4.708 0.000
8.063 4.708 0.000
-0.310 0.000 8.897
Pr Nd Y
12 2 5
Direct
0.061 0.061 0.345
0.068 0.674 0.322
0.167 0.530 0.762
0.326 0.932 0.678
0.419 0.419 0.116
0.470 0.833 0.238
0.530 0.167 0.762
0.581 0.581 0.884
0.674 0.068 0.322
0.833 0.470 0.238
0.932 0.326 0.678
0.939 0.939 0.655
0.171 0.829 0.000
0.829 0.171 0.000
0.205 0.205 0.031
0.269 0.269 0.433
0.500 0.500 0.500
0.731 0.731 0.567
0.795 0.795 0.969

=====

Entry B
Pr12Nd2Y5 GGA-PBE relaxed; N(E_F) = 1.451 states/eV/atom; space-group type = C2/m
1.0
11.317 -3.614 0.000
11.317 3.614 0.000
-3.031 0.000 8.343
Pr Nd Y
12 2 5
Direct
0.048 0.048 0.193
0.048 0.554 0.707
0.136 0.650 0.114
0.350 0.864 0.886
0.355 0.355 0.436
0.446 0.952 0.293
0.554 0.048 0.707
0.645 0.645 0.564
0.650 0.136 0.114
0.864 0.350 0.886
0.952 0.446 0.293
0.952 0.952 0.807
0.246 0.754 0.500
0.754 0.246 0.500
0.152 0.152 0.598
0.251 0.251 0.009
0.500 0.500 0.000
0.749 0.749 0.991
0.848 0.848 0.402

=====

Most stable to least stable: entry A, entry B

=====

Entry A
Pr12NdY7 GGA-PBE relaxed; N(E_F) = 1.487 states/eV/atom; space-group type = Im-3
1.0
-5.849 5.849 5.849
5.849 -5.849 5.849
5.849 5.849 -5.849
Pr Nd Y
12 1 7
Direct
0.002 0.748 0.254
0.252 0.254 0.506
0.252 0.746 0.998
0.254 0.002 0.748
0.254 0.506 0.252
0.494 0.748 0.746
0.506 0.252 0.254
0.746 0.494 0.748
0.746 0.998 0.252
0.748 0.254 0.002
0.748 0.746 0.494
0.998 0.252 0.746
0.000 0.000 0.000
0.000 0.000 0.500
0.000 0.500 0.000
0.000 0.500 0.500
0.500 0.000 0.000
0.500 0.000 0.500
0.500 0.500 0.000
0.500 0.500 0.500

=====

Entry B
Pr12NdY7 GGA-PBE relaxed; N(E_F) = 1.819 states/eV/atom; space-group type = R-3
1.0
7.727 4.461 3.407
-7.727 4.461 3.407
0.000 -8.923 3.407
Pr Nd Y
12 1 7
Direct
0.054 0.298 0.408
0.221 0.673 0.381
0.298 0.408 0.054
0.327 0.619 0.779
0.381 0.221 0.673
0.408 0.054 0.298
0.592 0.946 0.702
0.619 0.779 0.327
0.673 0.381 0.221
0.702 0.592 0.946
0.779 0.327 0.619
0.946 0.702 0.592
0.000 0.000 0.000
0.007 0.893 0.319
0.107 0.681 0.993
0.319 0.007 0.893
0.500 0.500 0.500
0.681 0.993 0.107
0.893 0.319 0.007
0.993 0.107 0.681

=====

Most stable to least stable: entry B, entry A